DyPuGaIr (PBE-GGA, relaxed); total moment = 5.28 μB/cell; symmetry = F-43m (216); E_form = -0.476 eV/atom; energy = -32.73 eV for the cell shown; volume = 21.49 Å³/atom
1.0
0.000 3.503 3.503
3.503 0.000 3.503
3.503 3.503 0.000
Dy Pu Ga Ir
1 1 1 1
Cartesian
0.000 0.000 0.000 Dy
3.503 3.503 3.503 Pu
1.751 1.751 1.751 Ga
5.254 5.254 5.254 Ir